# 1
Here is a geometry-optimized Rb3Tl2Br7 structure from the Alexandria database. Energies are from PBE-GGA.

Space group: No. 139
Total DFT energy (no corrections), eV for the cell shown: -33.24
Distance to the lowest polymorph of the same formula, meV per atom: 0

```
Rb3Tl2Br7
1.0
-2.912 2.912 14.541
2.912 -2.912 14.541
2.912 2.912 -14.541
Rb Tl Br
3 2 7
direct
0.000 0.000 0.000
0.180 0.180 0.000
0.820 0.820 0.000
0.397 0.397 0.000
0.603 0.603 0.000
0.099 0.599 0.500
0.297 0.297 0.000
0.401 0.901 0.500
0.500 0.500 0.000
0.599 0.099 0.500
0.703 0.703 0.000
0.901 0.401 0.500
```

***

# 2
Here is a geometry-optimized Ca2InSi structure from the Alexandria database. Energies are from PBE-GGA.

Space group: No. 216
Total DFT energy (no corrections), eV for the cell shown: -12.03

```
Ca2InSi
1.0
0.000 3.770 3.770
3.770 0.000 3.770
3.770 3.770 0.000
Ca In Si
2 1 1
direct
0.000 0.000 0.000
0.250 0.250 0.250
0.500 0.500 0.500
0.750 0.750 0.750
```

***

Number 1: raw formation energy -1.16 eV/atom. Number 2: raw formation energy 0.03 eV/atom.